{"formula": "CaPmInSb", "functional": "PBE", "state": "relaxed", "spacegroup": "F-43m, No. 216", "raw_formation_energy_kj_per_mol_atoms": -54.9, "lattice_angstrom": [[5.470, 0.000, 0.000], [2.735, 4.737, 0.000], [2.735, 1.579, 4.466]], "species": ["Sb", "Ca", "Pm", "In"], "fractional_positions": [[0.000, 0.000, 0.000], [0.750, 0.750, 0.750], [0.250, 0.250, 0.250], [0.500, 0.500, 0.500]]}

{"formula": "Nd3InNi", "functional": "PBE", "state": "relaxed", "formation_energy_ev_per_atom": -0.163, "spacegroup": "Pm-3m, No. 221", "polymorph_energy_mev_per_atom": 112, "lattice_angstrom": [[-0.925, 4.455, 2.828], [-5.261, -0.999, -0.148], [0.404, -2.803, 4.547]], "species": ["In", "Nd", "Nd", "Nd", "Ni"], "fractional_positions": [[0.500, 0.500, 0.500], [0.500, 0.000, 0.000], [0.000, 0.500, 0.000], [0.000, 0.000, 0.500], [0.000, 0.000, 0.000]]}

{"formula": "Ce2TmTiN5", "functional": "PBE", "state": "relaxed", "spacegroup": "Cmc2_1, No. 36", "raw_formation_energy_kj_per_mol_atoms": -139.0, "lattice_angstrom": [[-2.944, 1.837, 0.154], [-1.249, -5.619, 3.980], [3.798, 5.353, 8.747]], "species": ["N", "Ce", "Ce", "Ti", "Tm", "N", "Ce", "N", "Tm", "Ti", "N", "N", "Ce", "N", "N", "N", "N", "N"], "fractional_positions": [[0.381, 0.763, 0.061], [0.133, 0.265, 0.250], [0.125, 0.251, 0.705], [0.506, 0.011, 0.982], [0.225, 0.450, 0.988], [0.056, 0.112, 0.041], [0.875, 0.749, 0.205], [0.523, 0.047, 0.307], [0.775, 0.550, 0.488], [0.494, 0.989, 0.482], [0.619, 0.237, 0.561], [0.289, 0.578, 0.345], [0.867, 0.735, 0.750], [0.711, 0.422, 0.845], [0.477, 0.953, 0.807], [0.717, 0.433, 0.143], [0.283, 0.567, 0.643], [0.944, 0.888, 0.541]]}

{"formula": "Tb4PmDy4", "functional": "PBE", "state": "relaxed", "formation_energy_ev_per_atom": 0.085, "spacegroup": "C2/m, No. 12", "lattice_angstrom": [[-5.043, -7.381, 2.005], [5.601, 5.980, 4.106], [-7.952, 5.301, 6.600]], "species": ["Tb", "Pm", "Tb", "Dy", "Tb", "Dy", "Dy", "Tb", "Tb", "Tb", "Dy", "Tb", "Dy", "Pm", "Dy", "Dy", "Tb", "Dy"], "fractional_positions": [[0.809, 0.525, 0.834], [0.942, 0.942, 0.279], [0.814, 0.186, 0.000], [0.525, 0.153, 0.667], [0.856, 0.143, 0.500], [0.614, 0.614, 0.612], [0.280, 0.280, 0.945], [0.524, 0.808, 0.834], [0.186, 0.814, 0.000], [0.476, 0.192, 0.166], [0.475, 0.847, 0.333], [0.144, 0.857, 0.500], [0.720, 0.720, 0.055], [0.058, 0.058, 0.721], [0.386, 0.386, 0.388], [0.152, 0.524, 0.666], [0.191, 0.475, 0.166], [0.848, 0.476, 0.334]]}

{"formula": "Ba2TiMn", "functional": "PBE", "state": "relaxed", "formation_energy_ev_per_atom": 0.693, "spacegroup": "I-42d, No. 122", "polymorph_energy_mev_per_atom": 0, "lattice_angstrom": [[-10.848, -0.580, 6.086], [-6.055, -0.700, -10.859], [-8.299, -2.881, -2.327]], "species": ["Ba", "Ti", "Ba", "Mn", "Ba", "Mn", "Ba", "Ti"], "fractional_positions": [[0.940, 0.625, 0.250], [0.500, 0.500, 0.000], [0.375, 0.190, 0.750], [0.750, 0.250, 0.500], [0.810, 0.125, 0.250], [0.000, 0.000, 0.000], [0.875, 0.060, 0.750], [0.250, 0.750, 0.500]]}

{"formula": "Fe2NiCl", "functional": "PBE", "state": "relaxed", "spacegroup": "Pm, No. 6", "raw_formation_energy_kj_per_mol_atoms": 12.5, "polymorph_energy_mev_per_atom": 0, "lattice_angstrom": [[-0.629, 2.862, 0.408], [-1.948, -0.089, -2.380], [-4.827, -1.631, 4.001]], "species": ["Ni", "Fe", "Cl", "Fe"], "fractional_positions": [[0.000, 0.750, 0.443], [0.000, 0.751, 0.047], [0.500, 0.748, 0.751], [0.500, 0.251, 0.258]]}

{"formula": "Tb4Y7Sc", "functional": "PBE", "state": "relaxed", "formation_energy_ev_per_atom": 0.141, "spacegroup": "P-1, No. 2", "polymorph_energy_mev_per_atom": 0, "lattice_angstrom": [[5.261, -1.465, 2.371], [0.509, 6.289, 2.776], [1.561, -1.515, 11.632]], "species": ["Tb", "Tb", "Tb", "Y", "Y", "Y", "Y", "Tb", "Y", "Y", "Y", "Sc"], "fractional_positions": [[0.499, 0.864, 0.732], [0.499, 0.595, 0.269], [0.501, 0.405, 0.731], [0.833, 0.538, 0.921], [0.160, 0.718, 0.570], [0.167, 0.462, 0.079], [0.128, 0.189, 0.627], [0.501, 0.136, 0.268], [0.840, 0.282, 0.430], [0.500, 0.000, 0.000], [0.872, 0.811, 0.373], [0.000, 0.000, 0.000]]}

{"formula": "PrYTlGe", "functional": "PBE", "state": "relaxed", "formation_energy_ev_per_atom": -0.448, "spacegroup": "F-43m, No. 216", "lattice_angstrom": [[-5.016, 1.658, 0.664], [-3.994, -3.520, -0.039], [-2.601, -1.126, 4.507]], "species": ["Pr", "Y", "Ge", "Tl"], "fractional_positions": [[0.000, 0.000, 0.000], [0.500, 0.500, 0.500], [0.250, 0.250, 0.250], [0.750, 0.750, 0.750]]}

{"formula": "DyTmCdAg", "functional": "PBE", "state": "relaxed", "formation_energy_ev_per_atom": -0.307, "spacegroup": "F-43m, No. 216", "polymorph_energy_mev_per_atom": 11, "lattice_angstrom": [[-1.517, 4.629, 1.776], [-2.215, 0.385, 4.672], [2.564, 2.245, 3.908]], "species": ["Dy", "Tm", "Ag", "Cd"], "fractional_positions": [[0.500, 0.500, 0.500], [0.000, 0.000, 0.000], [0.250, 0.250, 0.250], [0.750, 0.750, 0.750]]}

{"formula": "CsRb2Bi3O8", "functional": "PBE", "state": "relaxed", "spacegroup": "Cm, No. 8", "raw_formation_energy_kj_per_mol_atoms": -110.7, "lattice_angstrom": [[7.140, 0.176, -0.048], [3.722, 6.095, -0.048], [3.576, 2.065, 6.856]], "species": ["O", "O", "Cs", "O", "Rb", "Bi", "Bi", "Rb", "O", "Bi", "O", "O", "O", "O"], "fractional_positions": [[0.754, 0.754, 0.168], [0.323, 0.789, 0.159], [0.872, 0.872, 0.388], [0.789, 0.323, 0.159], [0.501, 0.501, 0.501], [0.002, 0.500, 0.000], [0.500, 0.002, 0.000], [0.120, 0.120, 0.633], [0.679, 0.212, 0.839], [0.502, 0.502, 0.001], [0.246, 0.246, 0.829], [0.728, 0.728, 0.829], [0.212, 0.679, 0.839], [0.266, 0.266, 0.177]]}

{"formula": "MnPt2Br", "functional": "PBE", "state": "relaxed", "spacegroup": "Pm, No. 6", "raw_formation_energy_kj_per_mol_atoms": 7.6, "polymorph_energy_mev_per_atom": 29, "lattice_angstrom": [[2.983, 0.000, 0.000], [0.000, 3.697, -0.112], [0.000, 0.209, 7.132]], "species": ["Mn", "Pt", "Br", "Pt"], "fractional_positions": [[0.500, 0.501, 0.813], [0.500, 0.501, 0.180], [0.000, 0.497, 0.523], [0.000, 0.001, 0.984]]}

{"formula": "TbNdGaRh", "functional": "PBE", "state": "relaxed", "formation_energy_ev_per_atom": -0.589, "spacegroup": "F-43m, No. 216", "polymorph_energy_mev_per_atom": 96, "lattice_angstrom": [[5.059, 0.000, 0.000], [2.530, 4.381, 0.000], [2.530, 1.460, 4.131]], "species": ["Nd", "Ga", "Tb", "Rh"], "fractional_positions": [[0.500, 0.500, 0.500], [0.250, 0.250, 0.250], [0.000, 0.000, 0.000], [0.750, 0.750, 0.750]]}

Q: What is the formula in the tenth record?
A: CsRb2Bi3O8

Q: Number 2 is which compound?
A: Nd3InNi